1.
Density functional theory data (PBE-GGA) for a relaxed KScCl crystal.

a b c (Å): 3.406 3.406 14.404
angles (deg): 90.00 90.00 90.00
Space group I4mm (No. 107)
Unique sites:
K1 0.000 0.000 0.000 x2
Sc1 0.000 0.000 0.280 x2
Cl1 0.000 0.000 0.664 x2

theoretical density	2.37	g/cm3
calculated total energy	-3.650	eV/atom
ΔE_f (raw)	-0.558	eV per atom

=====

2.
Density functional theory data (PBE-GGA) for a relaxed Na3Pm3AsS8 crystal.

a b c (Å): 8.0393 8.0393 20.1735
angles (deg): 90.00 90.00 120.00
Space group R-3m (No. 166, hexagonal axes)
Unique sites:
Na1 0.0000 0.5000 0.0000 x9
Pm1 0.0000 0.5000 0.5000 x9
As1 0.0000 0.0000 0.5000 x3
S1 0.0000 0.0000 0.2442 x6
S2 0.0329 0.5164 0.2380 x18

theoretical density	3.69	g/cm3
calculated total energy	-5.117	eV/atom
ΔE_f (raw)	-1.392	eV per atom

=====

3.
Density functional theory data (PBE-GGA) for a relaxed CdCu2Pb crystal.

a b c (Å): 3.371 3.371 6.699
angles (deg): 90.00 90.00 90.00
Space group P4/mmm (No. 123)
Unique sites:
Cd1 0.000 0.000 0.000 x1
Cu1 0.500 0.500 0.209 x2
Pb1 0.000 0.000 0.500 x1

theoretical density	9.74	g/cm3
calculated total energy	-2.996	eV/atom
ΔE_f	0.8	eV/f.u.

=====

4.
Density functional theory data (PBE-GGA) for a relaxed Th4As2RhS crystal.

a b c (Å): 7.284 4.100 7.377
angles (deg): 90.00 109.54 90.00
Space group P2/m (No. 10)
Unique sites:
Th1 0.237 0.000 0.235 x2
Th2 0.255 0.500 0.757 x2
As1 0.000 0.000 0.500 x1
As2 0.500 0.500 0.500 x1
Rh1 0.000 0.500 0.000 x1
S1 0.500 0.000 0.000 x1

theoretical density	9.70	g/cm3
calculated total energy	-7.650	eV/atom
ΔE_f (raw)	-1.343	eV per atom

=====

5.
Density functional theory data (PBE-GGA) for a relaxed La3TaIn crystal.

a b c (Å): 5.608 5.608 5.608
angles (deg): 90.00 90.00 90.00
Space group Pm-3m (No. 221)
Unique sites:
La1 0.000 0.000 0.500 x3
Ta1 0.000 0.000 0.000 x1
In1 0.500 0.500 0.500 x1

theoretical density	6.71	g/cm3
calculated total energy	-5.526	eV/atom
ΔE_f	1.7	eV/f.u.

=====

6.
Density functional theory data (PBE-GGA) for a relaxed SnTeSe3 crystal.

a b c (Å): 6.317 5.496 10.400
angles (deg): 90.00 102.50 90.00
Space group P2_1/m (No. 11)
Unique sites:
Sn1 0.059 0.250 0.313 x2
Te1 0.424 0.250 0.840 x2
Se1 0.129 0.250 0.613 x2
Se2 0.225 0.750 0.260 x2
Se3 0.359 0.750 0.865 x2

theoretical density	4.55	g/cm3
calculated total energy	-3.595	eV/atom
ΔE_f (raw)	-0.076	eV per atom

=====

7.
Density functional theory data (PBE-GGA) for a relaxed Sm6P2PtCl3 crystal.

a b c (Å): 18.222 4.040 8.523
angles (deg): 90.00 103.35 90.00
Space group C2/m (No. 12)
Unique sites:
Sm1 0.007 0.000 0.229 x4
Sm2 0.163 0.500 0.108 x4
Sm3 0.175 0.500 0.565 x4
P1 0.167 0.000 0.336 x4
Pt1 0.000 0.500 0.000 x2
Cl1 0.000 0.500 0.500 x2
Cl2 0.169 0.000 0.829 x4

theoretical density	6.89	g/cm3
calculated total energy	-5.706	eV/atom
ΔE_f (raw)	-1.480	eV per atom

=====

8.
Density functional theory data (PBE-GGA) for a relaxed CaPrAs2Pd5 crystal.

a b c (Å): 4.321 4.321 9.014
angles (deg): 90.00 90.00 90.00
Space group P4/mmm (No. 123)
Unique sites:
Ca1 0.000 0.000 0.000 x1
Pr1 0.000 0.000 0.500 x1
As1 0.500 0.500 0.359 x2
Pd1 0.000 0.500 0.224 x4
Pd2 0.500 0.500 0.000 x1

theoretical density	8.51	g/cm3
calculated total energy	-5.433	eV/atom
ΔE_f	-6.9	eV/f.u.